[1]
Here is PmAgSn after structural relaxation from Alexandria. Energies are from PBE.

SG: No. 216
V, A^3/atom: 26.87
Mass density, g/cm3: 7.7
Total DFT energy (no corrections), eV for the cell shown: -13.26
Polymorph energy (0 for the lowest one), eV/f.u.: 0.09

a b c (Å): 4.849 4.849 4.849
angles (deg): 60.00 60.00 60.00
Atoms (fractional coordinates):
Pm1 0.000 0.000 0.000
Ag1 0.750 0.750 0.750
Sn1 0.500 0.500 0.500

[2]
Here is Pm5AgSn4 after structural relaxation from Alexandria. Energies are from PBE.

SG: No. 123
V, A^3/atom: 27.55
Mass density, g/cm3: 7.9
Total DFT energy (no corrections), eV for the cell shown: -48.57

a b c (Å): 3.539 3.539 21.995
angles (deg): 90.00 90.00 90.00
Atoms (fractional coordinates):
Pm1 0.000 0.000 0.000
Pm2 0.000 0.000 0.206
Pm3 0.000 0.000 0.407
Pm4 0.000 0.000 0.593
Pm5 0.000 0.000 0.794
Ag1 0.500 0.500 0.500
Sn1 0.500 0.500 0.103
Sn2 0.500 0.500 0.307
Sn3 0.500 0.500 0.693
Sn4 0.500 0.500 0.897